*A*
DFT (PBE-GGA) results for a relaxed structure of ScIr2W.

## Properties
- space-group type = No. 160

abc: 9.256 9.256 9.256
angles: 17.88 17.88 17.88
Each line ends with the local moment (μB).
Sites, in units of the cell vectors:
Ir (0.249, 0.249, 0.249)  0.07
W (0.745, 0.745, 0.745)  0.04
Sc (0.503, 0.503, 0.503)  0.08
Ir (0.002, 0.002, 0.002)  0.04

---

*B*
DFT (PBE-GGA) results for a relaxed structure of ScIr2W.

## Properties
- space-group type = No. 8

abc: 5.017 5.017 4.766
angles: 80.57 80.57 33.14
Sites, in units of the cell vectors:
Ir (0.995, 0.995, 0.957)
Ir (0.261, 0.261, 0.288)
W (0.733, 0.733, 0.798)
Sc (0.511, 0.511, 0.457)

---

Least stable: *A*

---

*A*
DFT (PBE-GGA) results for a relaxed structure of ScIr2W.

## Properties
- space-group type = No. 65

abc: 4.755 4.755 2.893
angles: 89.97 89.97 103.28
Sites, in units of the cell vectors:
Ir (0.000, 0.000, 0.000)
Sc (0.500, 0.000, 0.500)
Ir (0.500, 0.500, 0.000)
W (0.000, 0.500, 0.500)

---

*B*
DFT (PBE-GGA) results for a relaxed structure of ScIr2W.

## Properties
- space-group type = No. 122

abc: 7.252 7.252 5.824
angles: 51.49 51.49 90.00
Sites, in units of the cell vectors:
Sc (0.500, 0.500, 0.000)
Ir (0.375, 0.339, 0.750)
Sc (0.250, 0.750, 0.500)
W (0.000, 0.000, 0.000)
Ir (0.661, 0.125, 0.250)
Ir (0.089, 0.625, 0.250)
W (0.750, 0.250, 0.500)
Ir (0.875, 0.911, 0.750)

---

*C*
DFT (PBE-GGA) results for a relaxed structure of ScIr2W.

## Properties
- space-group type = No. 99

abc: 3.303 3.303 6.084
angles: 90.00 90.00 90.00
Sites, in units of the cell vectors:
W (0.500, 0.500, 0.786)
Ir (0.500, 0.500, 0.259)
Sc (0.000, 0.000, 0.480)
Ir (0.000, 0.000, 0.975)

---

*D*
DFT (PBE-GGA) results for a relaxed structure of ScIr2W.

## Properties
- space-group type = No. 123

abc: 4.734 4.734 2.879
angles: 90.00 90.00 90.00
Sites, in units of the cell vectors:
Ir (0.000, 0.000, 0.000)
W (0.000, 0.500, 0.500)
Ir (0.500, 0.500, 0.000)
Sc (0.500, 0.000, 0.500)

---

Least stable: *B*

---

*A*
DFT (PBE-GGA) results for a relaxed structure of ScIr2W.

## Properties
- space-group type = No. 6

abc: 4.589 2.882 4.903
angles: 83.49 90.00 90.00
Sites, in units of the cell vectors:
W (0.500, 0.709, 0.819)
Ir (0.500, 0.084, 0.317)
Ir (0.000, 0.153, 0.941)
Sc (0.000, 0.553, 0.423)

---

*B*
DFT (PBE-GGA) results for a relaxed structure of ScIr2W.

## Properties
- space-group type = No. 119

abc: 5.042 5.042 5.042
angles: 134.64 134.65 66.07
Sites, in units of the cell vectors:
Ir (0.000, 0.000, 0.000)
Ir (0.750, 0.250, 0.500)
W (0.250, 0.750, 0.500)
Sc (0.500, 0.500, 0.000)

---

Least stable: *B*

---

*A*
DFT (PBE-GGA) results for a relaxed structure of Sc3IrW.

## Properties
- space-group type = No. 221

abc: 4.903 4.903 4.903
angles: 90.00 90.00 90.00
Sites, in units of the cell vectors:
Sc (0.000, 0.000, 0.500)
Ir (0.000, 0.000, 0.000)
Sc (0.000, 0.500, 0.000)
W (0.500, 0.500, 0.500)
Sc (0.500, 0.000, 0.000)

---

*B*
DFT (PBE-GGA) results for a relaxed structure of Sc3IrW.

## Properties
- space-group type = No. 221

abc: 4.891 4.891 4.891
angles: 90.00 90.00 90.00
Sites, in units of the cell vectors:
Sc (0.500, 0.000, 0.000)
Ir (0.500, 0.500, 0.500)
W (0.000, 0.000, 0.000)
Sc (0.000, 0.500, 0.000)
Sc (0.000, 0.000, 0.500)

---

Least stable: *B*

---

*A*
DFT (PBE-GGA) results for a relaxed structure of YSc2Ir.

## Properties
- space-group type = No. 139

abc: 5.784 5.784 5.784
angles: 138.06 138.06 60.80
Each line ends with the local moment (μB).
Sites, in units of the cell vectors:
Sc (0.000, 0.000, 0.000)  0.19
Ir (0.750, 0.250, 0.500)  0.01
Y (0.250, 0.750, 0.500)  0.04
Sc (0.500, 0.500, 0.000)  0.19

---

*B*
DFT (PBE-GGA) results for a relaxed structure of YSc2Ir.

## Properties
- space-group type = No. 62

abc: 6.042 7.115 8.656
angles: 90.00 90.00 90.00
Sites, in units of the cell vectors:
Sc (0.339, 0.174, 0.061)
Sc (0.661, 0.826, 0.939)
Y (0.880, 0.030, 0.250)
Sc (0.161, 0.674, 0.061)
Ir (0.428, 0.884, 0.250)
Y (0.120, 0.970, 0.750)
Sc (0.339, 0.174, 0.439)
Sc (0.161, 0.674, 0.439)
Y (0.380, 0.470, 0.750)
Sc (0.839, 0.326, 0.561)
Sc (0.661, 0.826, 0.561)
Ir (0.072, 0.384, 0.250)
Ir (0.572, 0.116, 0.750)
Y (0.620, 0.530, 0.250)
Sc (0.839, 0.326, 0.939)
Ir (0.928, 0.616, 0.750)

---

Least stable: *A*

---

*A*
DFT (PBE-GGA) results for a relaxed structure of YSc2Ir.

## Properties
- space-group type = No. 10

abc: 4.491 3.298 6.101
angles: 74.38 90.00 90.00
Sites, in units of the cell vectors:
Sc (0.000, 0.574, 0.536)
Sc (0.000, 0.926, 0.964)
Y (0.500, 0.250, 0.250)
Ir (0.500, 0.750, 0.750)

---

*B*
DFT (PBE-GGA) results for a relaxed structure of YSc2Ir.

## Properties
- space-group type = No. 122

abc: 8.185 8.185 6.499
angles: 50.97 50.97 90.00
Sites, in units of the cell vectors:
Ir (0.750, 0.250, 0.500)
Y (0.500, 0.500, 0.000)
Y (0.250, 0.750, 0.500)
Sc (0.375, 0.297, 0.750)
Sc (0.875, 0.953, 0.750)
Sc (0.703, 0.125, 0.250)
Ir (0.000, 0.000, 0.000)
Sc (0.047, 0.625, 0.250)

---

*C*
DFT (PBE-GGA) results for a relaxed structure of YSc2Ir.

## Properties
- space-group type = No. 166

abc: 10.290 10.290 10.290
angles: 19.42 19.42 19.42
Sites, in units of the cell vectors:
Y (0.000, 0.000, 0.000)
Sc (0.889, 0.889, 0.889)
Sc (0.111, 0.111, 0.111)
Ir (0.500, 0.500, 0.500)

---

*D*
DFT (PBE-GGA) results for a relaxed structure of YSc2Ir.

## Properties
- space-group type = No. 119

abc: 4.920 4.920 4.920
angles: 120.28 120.28 89.52
Each line ends with the local moment (μB).
Sites, in units of the cell vectors:
Sc (0.250, 0.750, 0.500)  0.23
Y (0.500, 0.500, 0.000)  0.05
Ir (0.750, 0.250, 0.500)  -0.04
Sc (0.000, 0.000, 0.000)  0.12

---

Least stable: *C*

---

*A*
DFT (PBE-GGA) results for a relaxed structure of YSc2Ir.

## Properties
- space-group type = No. 123

abc: 4.899 4.183 4.183
angles: 90.00 90.00 90.00
Each line ends with the local moment (μB).
Sites, in units of the cell vectors:
Sc (0.000, 0.000, 0.000)  0.14
Y (0.500, 0.500, 0.000)  0.02
Ir (0.500, 0.000, 0.500)  -0.01
Sc (0.000, 0.500, 0.500)  0.14

---

*B*
DFT (PBE-GGA) results for a relaxed structure of YSc2Ir.

## Properties
- space-group type = No. 12

abc: 5.463 5.764 3.159
angles: 77.65 82.70 116.05
Sites, in units of the cell vectors:
Y (0.000, 0.500, 0.500)
Sc (0.000, 0.000, 0.000)
Sc (0.500, 0.000, 0.500)
Ir (0.500, 0.500, 0.000)

---

*C*
DFT (PBE-GGA) results for a relaxed structure of YSc2Ir.

## Properties
- space-group type = No. 71

abc: 6.001 6.001 6.001
angles: 146.49 130.43 61.17
Sites, in units of the cell vectors:
Sc (0.452, 0.452, 0.000)
Y (0.750, 0.250, 0.500)
Ir (0.250, 0.750, 0.500)
Sc (0.048, 0.048, 0.000)

---

Least stable: *B*

---

*A*
DFT (PBE-GGA) results for a relaxed structure of YSc2Ir.

## Properties
- space-group type = No. 63

abc: 3.815 6.078 8.433
angles: 90.00 90.00 108.28
Sites, in units of the cell vectors:
Ir (0.244, 0.489, 0.250)
Ir (0.756, 0.511, 0.750)
Sc (0.354, 0.708, 0.937)
Y (0.937, 0.874, 0.250)
Sc (0.646, 0.292, 0.063)
Y (0.063, 0.126, 0.750)
Sc (0.354, 0.708, 0.563)
Sc (0.646, 0.292, 0.437)

---

*B*
DFT (PBE-GGA) results for a relaxed structure of YSc2Ir.

## Properties
- space-group type = No. 166

abc: 9.169 9.169 9.169
angles: 22.94 22.94 22.94
Sites, in units of the cell vectors:
Y (0.750, 0.750, 0.750)
Sc (0.526, 0.526, 0.526)
Ir (0.250, 0.250, 0.250)
Sc (0.974, 0.974, 0.974)

---

Least stable: *B*

---

*A*
DFT (PBE-GGA) results for a relaxed structure of YSc2Ir.

## Properties
- space-group type = No. 123

abc: 3.265 3.265 8.474
angles: 90.00 90.00 89.98
Sites, in units of the cell vectors:
Y (0.500, 0.500, 0.250)
Sc (0.000, 0.000, 0.564)
Ir (0.500, 0.500, 0.750)
Sc (0.000, 0.000, 0.936)

---

*B*
DFT (PBE-GGA) results for a relaxed structure of YSc2Ir.

## Properties
- space-group type = No. 25

abc: 3.429 3.336 8.058
angles: 90.00 90.00 90.00
Each line ends with the local moment (μB).
Sites, in units of the cell vectors:
Sc (0.000, 0.000, 0.947)  0.15
Y (0.000, 0.000, 0.551)  0.08
Sc (0.500, 0.500, 0.229)  0.44
Ir (0.500, 0.500, 0.772)  0.02

---

*C*
DFT (PBE-GGA) results for a relaxed structure of YSc2Ir.

## Properties
- space-group type = No. 47

abc: 3.172 4.462 5.953
angles: 90.00 90.00 90.00
Sites, in units of the cell vectors:
Sc (0.000, 0.000, 0.531)
Y (0.500, 0.500, 0.250)
Ir (0.500, 0.500, 0.750)
Sc (0.000, 0.000, 0.969)

---

Least stable: *C*

---

*A*
DFT (PBE-GGA) results for a relaxed structure of YSc2Ir.

## Properties
- space-group type = No. 44

abc: 5.950 5.950 4.948
angles: 65.41 65.41 34.39
Sites, in units of the cell vectors:
Ir (0.742, 0.742, 0.758)
Sc (0.250, 0.250, 0.250)
Y (0.458, 0.458, 0.542)
Sc (0.050, 0.050, 0.950)

---

*B*
DFT (PBE-GGA) results for a relaxed structure of YSc2Ir.

## Properties
- space-group type = No. 225

abc: 4.879 4.879 4.879
angles: 60.00 60.00 60.00
Each line ends with the local moment (μB).
Sites, in units of the cell vectors:
Ir (0.500, 0.500, 0.500)  -0.05
Sc (0.250, 0.250, 0.250)  0.13
Y (0.000, 0.000, 0.000)  0.16
Sc (0.750, 0.750, 0.750)  0.13

---

Least stable: *B*

---

*A*
DFT (PBE-GGA) results for a relaxed structure of Y2ScIr.

## Properties
- space-group type = No. 44

abc: 6.183 6.183 6.183
angles: 146.58 131.00 60.61
Sites, in units of the cell vectors:
Y (0.704, 0.204, 0.500)
Y (0.000, 0.000, 0.000)
Ir (0.491, 0.491, 0.000)
Sc (0.305, 0.805, 0.500)

---

*B*
DFT (PBE-GGA) results for a relaxed structure of Y2ScIr.

## Properties
- space-group type = No. 38

abc: 3.603 4.707 6.554
angles: 68.99 90.00 90.00
Sites, in units of the cell vectors:
Ir (0.000, 0.722, 0.431)
Y (0.500, 0.261, 0.353)
Y (0.000, 0.948, 0.978)
Sc (0.500, 0.568, 0.738)

---

Least stable: *B*